(1)
Entry from OQMD: crystalline Li4Cd2NiPd at its relaxed geometry (PBE).

Cell lengths 4.386, 4.386, 6.205 Å; angles 90.00, 90.00, 90.00 degrees
Sites, in units of the cell vectors:
Cd  0.000  0.500  0.234
Li  0.500  0.000  0.245
Li  0.500  0.500  0.000
Cd  0.500  0.000  0.766
Li  0.000  0.000  0.500
Ni  0.000  0.000  0.000
Li  0.000  0.500  0.755
Pd  0.500  0.500  0.500

Values from the calculation:
crystal system	tetragonal

(2)
Entry from OQMD: crystalline TlW4C3 at its relaxed geometry (PBE).

Cell lengths 3.177, 3.177, 23.992 Å; angles 90.00, 90.00, 120.00 degrees
Sites, in units of the cell vectors:
W  0.000  0.000  0.853
C  0.000  0.000  0.500
C  0.667  0.333  0.106
Tl  0.333  0.667  0.250
W  0.667  0.333  0.555
C  0.333  0.667  0.606
W  0.333  0.667  0.445
C  0.667  0.333  0.394
W  0.667  0.333  0.945
Tl  0.667  0.333  0.750
W  0.333  0.667  0.055
W  0.000  0.000  0.147
C  0.000  0.000  0.000
W  0.000  0.000  0.353
W  0.000  0.000  0.647
C  0.333  0.667  0.894

Values from the calculation:
crystal system	hexagonal

| no. | electronic total energy (eV per atom) |
| --- | --- |
| 1 | -2.77 |
| 2 | -9.89 |